Entry 1:
DFT (PBE-GGA) results for a relaxed structure of Mg2ZrAg.

Unit cell a=4.849 b=4.849 c=4.849 alpha=119.70 beta=119.70 gamma=90.51
Element x y z (fractional)
Mg 0.000 0.000 0.000
Mg 0.750 0.250 0.500
Zr 0.250 0.750 0.500
Ag 0.500 0.500 0.000

=====

Entry 2:
DFT (PBE-GGA) results for a relaxed structure of MgZrAg.

Unit cell a=3.098 b=3.098 c=12.971 alpha=90.00 beta=90.00 gamma=90.00
Element x y z (fractional)
Mg 0.250 0.250 0.220
Mg 0.750 0.750 0.780
Zr 0.250 0.250 0.587
Zr 0.750 0.750 0.413
Ag 0.250 0.250 0.925
Ag 0.750 0.750 0.075

=====

no.,total magnetization (μB/f.u.),energy of formation from the pure elements (eV/atom),final energy (eV/f.u.)
1,0.000,-0.015,-14.648
2,0.000,-0.086,-13.251